1.
BeBiCl2 (PBE-GGA, optimized geometry); DFT total energy = -2.414 eV/atom
1.0
0.0000 3.5429 3.5429
3.5429 0.0000 3.5429
3.5429 3.5429 0.0000
Be Bi Cl
1 1 2
direct
0.0000 0.0000 0.0000
0.5000 0.5000 0.5000
0.2500 0.2500 0.2500
0.7500 0.7500 0.7500

***

2.
BeZnRe2 (PBE-GGA, optimized geometry); DFT total energy = -7.352 eV/atom; E_form = 0.12 eV/atom
1.0
0.0000 2.9896 3.0145
2.9819 0.0000 3.0145
2.9819 2.9896 0.0000
Be Zn Re
1 1 2
direct
0.0000 0.0000 0.0000
0.7500 0.7500 0.7500
0.2500 0.2500 0.2500
0.5000 0.5000 0.5000

***

3.
ZrCr2Re (PBE-GGA, optimized geometry); DFT total energy = -9.877 eV/atom; E_form = 0.18 eV/atom
1.0
2.7185 -4.2473 0.0000
2.7185 4.2473 0.0000
-0.9381 0.0000 2.5794
Zr Cr Re
1 2 1
direct
0.0000 0.0000 0.0000
0.0000 0.5000 0.5000
0.5000 0.0000 0.5000
0.5000 0.5000 0.0000

***

4.
PmNd3Er8 (PBE-GGA, optimized geometry); DFT total energy = -3.995 eV/atom; E_form = 0.63 eV/atom
1.0
-4.3558 4.3558 5.6508
4.3558 -4.3558 5.6508
4.3558 4.3558 -5.6508
Pm Nd Er
1 3 8
direct
0.0000 0.0000 0.0000
0.2500 0.7500 0.5000
0.5000 0.5000 0.0000
0.7500 0.2500 0.5000
0.1223 0.1223 0.7487
0.2425 0.2425 0.4951
0.2526 0.7575 0.0000
0.3736 0.3736 0.2513
0.6264 0.8777 0.0000
0.7474 0.7474 0.5049
0.7575 0.2526 0.0000
0.8777 0.6264 0.0000

***

5.
KNaTc2 (PBE-GGA, optimized geometry); DFT total energy = -3.757 eV/atom; E_form = 2.03 eV/atom
1.0
0.0000 3.6268 3.6268
3.6268 0.0000 3.6268
3.6268 3.6268 0.0000
K Na Tc
1 1 2
direct
0.0000 0.0000 0.0000
0.5000 0.5000 0.5000
0.2500 0.2500 0.2500
0.7500 0.7500 0.7500

***

6.
V5SiGe4 (PBE-GGA, optimized geometry); DFT total energy = -6.889 eV/atom
1.0
-3.9633 3.9633 2.4662
3.9633 -3.9633 2.4662
3.9633 3.9633 -2.4662
V Si Ge
5 1 4
direct
0.0000 0.0000 0.0000
0.2269 0.3880 0.6149
0.3880 0.7731 0.1611
0.6120 0.2269 0.8389
0.7731 0.6120 0.3851
0.5000 0.5000 0.0000
0.0864 0.6823 0.7687
0.3177 0.0864 0.4041
0.6823 0.9136 0.5959
0.9136 0.3177 0.2313

***

7.
Ba2CrHgIr (PBE-GGA, optimized geometry); DFT total energy = -3.748 eV/atom; E_form = 0.78 eV/atom
1.0
6.3503 0.0000 0.0000
0.0000 6.3503 0.0000
0.0000 0.0000 5.0404
Ba Cr Hg Ir
2 1 1 1
direct
0.0000 0.5000 0.0000
0.5000 0.0000 0.0000
0.0000 0.0000 0.5000
0.5000 0.5000 0.0000
0.5000 0.5000 0.5000

***

8.
SmGdInHg (PBE-GGA, optimized geometry); DFT total energy = -5.952 eV/atom; E_form = -0.49 eV/atom
1.0
0.0000 3.7987 3.7987
3.7987 0.0000 3.7987
3.7987 3.7987 0.0000
Sm Gd In Hg
1 1 1 1
direct
0.0000 0.0000 0.0000
0.5000 0.5000 0.5000
0.2500 0.2500 0.2500
0.7500 0.7500 0.7500

***

9.
Pr6Sm7Ho16 (PBE-GGA, optimized geometry); DFT total energy = -4.422 eV/atom; E_form = 0.23 eV/atom
1.0
0.0000 7.9518 7.9518
7.9518 0.0000 7.9518
7.9518 7.9518 0.0000
Pr Sm Ho
6 7 16
direct
0.2347 0.2347 0.7653
0.2347 0.7653 0.2347
0.2347 0.7653 0.7653
0.7653 0.2347 0.2347
0.7653 0.2347 0.7653
0.7653 0.7653 0.2347
0.0000 0.0000 0.5000
0.0000 0.5000 0.0000
0.0000 0.5000 0.5000
0.5000 0.0000 0.0000
0.5000 0.0000 0.5000
0.5000 0.5000 0.0000
0.5000 0.5000 0.5000
0.1116 0.6295 0.6295
0.1504 0.1504 0.1504
0.1504 0.1504 0.5487
0.1504 0.5487 0.1504
0.3705 0.3705 0.3705
0.3705 0.3705 0.8884
0.3705 0.8884 0.3705
0.4513 0.8496 0.8496
0.5487 0.1504 0.1504
0.6295 0.1116 0.6295
0.6295 0.6295 0.1116
0.6295 0.6295 0.6295
0.8496 0.4513 0.8496
0.8496 0.8496 0.4513
0.8496 0.8496 0.8496
0.8884 0.3705 0.3705

***

10.
Cs2CaGe2S6 (PBE-GGA, optimized geometry); DFT total energy = -4.335 eV/atom
1.0
6.3456 -3.6312 0.0000
6.3456 3.6312 0.0000
-3.7736 0.0000 7.9679
Cs Ca Ge S
2 1 2 6
direct
0.2026 0.2026 0.1805
0.7974 0.7974 0.8195
0.0000 0.0000 0.5000
0.4350 0.4350 0.7135
0.5650 0.5650 0.2865
0.2158 0.7173 0.2351
0.2541 0.2541 0.6504
0.2827 0.7842 0.7649
0.7173 0.2158 0.2351
0.7459 0.7459 0.3496
0.7842 0.2827 0.7649

***

11.
TaTc3Rh (PBE-GGA, optimized geometry); DFT total energy = -8.294 eV/atom; E_form = 1.77 eV/atom
1.0
4.5903 0.0000 0.0000
0.0000 4.5903 0.0000
0.0000 0.0000 4.5903
Ta Tc Rh
1 3 1
direct
0.0000 0.0000 0.0000
0.0000 0.5000 0.5000
0.5000 0.0000 0.5000
0.5000 0.5000 0.0000
0.5000 0.5000 0.5000

***

12.
RuI2Cl (PBE-GGA, optimized geometry); DFT total energy = -2.841 eV/atom
1.0
0.0000 3.5377 3.5377
3.5377 0.0000 3.5377
3.5377 3.5377 0.0000
Ru I Cl
1 2 1
direct
0.0000 0.0000 0.0000
0.2500 0.2500 0.2500
0.7500 0.7500 0.7500
0.5000 0.5000 0.5000

***

13.
NaTiAs2 (PBE-GGA, optimized geometry); DFT total energy = -4.862 eV/atom; E_form = -0.23 eV/atom
1.0
0.0000 3.3253 3.3253
3.3253 0.0000 3.3253
3.3253 3.3253 0.0000
Na Ti As
1 1 2
direct
0.0000 0.0000 0.0000
0.5000 0.5000 0.5000
0.2500 0.2500 0.2500
0.7500 0.7500 0.7500

***

14.
Ho4Se5S (PBE-GGA, optimized geometry); DFT total energy = -5.818 eV/atom
1.0
8.8507 -2.0266 0.0000
8.8507 2.0266 0.0000
-2.1443 0.0000 7.8610
Ho Se S
4 5 1
direct
0.0026 0.0026 0.2559
0.3242 0.3242 0.8868
0.6758 0.6758 0.1132
0.9974 0.9974 0.7441
0.1618 0.1618 0.3355
0.1623 0.1623 0.8546
0.5000 0.5000 0.5000
0.8377 0.8377 0.1454
0.8382 0.8382 0.6645
0.5000 0.5000 0.0000

***

15.
CsLaGaSe4 (PBE-GGA, optimized geometry); DFT total energy = -4.515 eV/atom
1.0
7.4506 0.0000 0.0000
0.0000 6.1247 0.0000
-2.6147 0.0000 10.0007
Cs La Ga Se
2 2 2 8
direct
0.2474 0.2500 0.0432
0.7526 0.7500 0.9568
0.2533 0.2500 0.5520
0.7467 0.7500 0.4480
0.2572 0.7500 0.3323
0.7428 0.2500 0.6677
0.0021 0.5142 0.7038
0.0021 0.9858 0.7038
0.4055 0.7500 0.5685
0.4544 0.7500 0.1857
0.5456 0.2500 0.8143
0.5945 0.2500 0.4315
0.9979 0.0142 0.2962
0.9979 0.4858 0.2962

***

16.
MgH2N (PBE-GGA, optimized geometry); DFT total energy = -3.487 eV/atom
1.0
1.5674 0.9049 3.0681
-1.5674 0.9049 3.0681
0.0000 -1.8098 3.0681
Mg H N
1 2 1
direct
0.0000 0.0000 0.0000
0.2234 0.2234 0.2234
0.7766 0.7766 0.7766
0.5000 0.5000 0.5000

***

17.
Ca2In6Hg (PBE-GGA, optimized geometry); DFT total energy = -2.519 eV/atom; E_form = -0.22 eV/atom
1.0
7.6880 -2.6818 0.0000
7.6880 2.6818 0.0000
-2.5865 0.0000 5.9565
Ca In Hg
2 6 1
direct
0.0654 0.0654 0.3038
0.9346 0.9346 0.6962
0.1726 0.1726 0.8800
0.2917 0.2917 0.4122
0.3918 0.3918 0.9711
0.6082 0.6082 0.0289
0.7083 0.7083 0.5878
0.8274 0.8274 0.1200
0.5000 0.5000 0.5000

***

18.
LiIn12Pb6 (PBE-GGA, optimized geometry); DFT total energy = -2.978 eV/atom; E_form = 0.02 eV/atom
1.0
6.7464 3.8951 3.5040
-6.7464 3.8951 3.5040
0.0000 -7.7901 3.5040
Li In Pb
1 12 6
direct
0.0000 0.0000 0.0000
0.0800 0.2614 0.8007
0.1886 0.5219 0.6211
0.1993 0.9200 0.7386
0.2614 0.8007 0.0800
0.3789 0.8114 0.4781
0.4781 0.3789 0.8114
0.5219 0.6211 0.1886
0.6211 0.1886 0.5219
0.7386 0.1993 0.9200
0.8007 0.0800 0.2614
0.8114 0.4781 0.3789
0.9200 0.7386 0.1993
0.1240 0.4190 0.2120
0.2120 0.1240 0.4190
0.4190 0.2120 0.1240
0.5810 0.7880 0.8760
0.7880 0.8760 0.5810
0.8760 0.5810 0.7880

***

19.
NbAlTl3 (PBE-GGA, optimized geometry); DFT total energy = -3.105 eV/atom; E_form = 1.08 eV/atom
1.0
5.2975 0.0000 0.0000
0.0000 5.2975 0.0000
0.0000 0.0000 5.2975
Nb Al Tl
1 1 3
direct
0.0000 0.0000 0.0000
0.5000 0.5000 0.5000
0.0000 0.5000 0.5000
0.5000 0.0000 0.5000
0.5000 0.5000 0.0000

***

20.
HfTiMnH2 (PBE-GGA, optimized geometry); DFT total energy = -6.085 eV/atom
1.0
3.5906 0.0000 0.0000
0.0000 3.5906 0.0000
0.0000 0.0000 5.6298
Hf Ti Mn H
1 1 1 2
direct
0.0000 0.0000 0.0000
0.0000 0.0000 0.5000
0.5000 0.5000 0.0000
0.0000 0.5000 0.5000
0.5000 0.0000 0.5000

***

21.
SmBiSeO2 (PBE-GGA, optimized geometry); DFT total energy = -6.408 eV/atom
1.0
6.6607 0.0000 0.0000
0.0000 4.0978 0.0000
-2.1580 0.0000 7.5059
Sm Bi Se O
2 2 2 4
direct
0.1868 0.2500 0.4254
0.8132 0.7500 0.5746
0.1879 0.2500 0.9133
0.8121 0.7500 0.0867
0.4429 0.7500 0.7190
0.5571 0.2500 0.2810
0.0080 0.7500 0.8825
0.0196 0.7500 0.3725
0.9804 0.2500 0.6275
0.9920 0.2500 0.1175

***

22.
Y4Pd7Pt (PBE-GGA, optimized geometry); DFT total energy = -6.266 eV/atom; E_form = -0.58 eV/atom
1.0
5.1828 -2.6156 0.0000
5.1828 2.6156 0.0000
-4.8881 0.0000 9.1951
Y Pd Pt
4 7 1
direct
0.1056 0.1056 0.2962
0.2989 0.2989 0.8698
0.7011 0.7011 0.1302
0.8944 0.8944 0.7038
0.0000 0.0000 0.5000
0.1297 0.1297 0.0103
0.2944 0.2944 0.5961
0.4192 0.4192 0.1998
0.5808 0.5808 0.8002
0.7056 0.7056 0.4039
0.8703 0.8703 0.9897
0.5000 0.5000 0.5000

***

23.
HfZrPaZn (PBE-GGA, optimized geometry); DFT total energy = -7.158 eV/atom; E_form = 0.16 eV/atom
1.0
0.0000 3.4801 3.4801
3.4801 0.0000 3.4801
3.4801 3.4801 0.0000
Hf Zr Pa Zn
1 1 1 1
direct
0.0000 0.0000 0.0000
0.5000 0.5000 0.5000
0.2500 0.2500 0.2500
0.7500 0.7500 0.7500

***

24.
SrLiAs (PBE-GGA, optimized geometry); DFT total energy = -3.778 eV/atom; E_form = -1.03 eV/atom
1.0
7.6560 0.0000 0.0000
0.0000 4.5315 0.0000
0.0000 0.0000 8.1495
Sr Li As
4 4 4
direct
0.0088 0.2500 0.2020
0.4912 0.7500 0.7020
0.5088 0.2500 0.2980
0.9912 0.7500 0.7980
0.1522 0.2500 0.5698
0.3478 0.7500 0.0698
0.6522 0.2500 0.9302
0.8478 0.7500 0.4302
0.2233 0.7500 0.4032
0.2767 0.2500 0.9032
0.7233 0.7500 0.0968
0.7767 0.2500 0.5968